Entry from the Alexandria database: a geometry-optimized Sc2SiTc structure (PBE).

a = 3.2526 Å, b = 3.2526 Å, c = 6.8553 Å
α = 90.00°, β = 90.00°, γ = 90.00°
With the nearest neighbours (Å) after each atom.
Space group P4mm (No. 99)
Symmetry-distinct sites (fractional):
Sc 0.0000 0.0000 0.0000 (multiplicity 1)  1 Si 2.82, 4 Tc 2.91
Sc 0.5000 0.5000 0.3369 (multiplicity 1)  1 Tc 2.77, 4 Si 2.88
Si 0.0000 0.0000 0.5889 (multiplicity 1)  4 Tc 2.53, 1 Sc 2.82
Tc 0.5000 0.5000 0.7410 (multiplicity 1)  4 Si 2.53, 1 Sc 2.77



Entry from the Alexandria database: a geometry-optimized ScSi4Tc structure (PBE).

a = 6.9915 Å, b = 6.9915 Å, c = 6.9915 Å
α = 90.00°, β = 90.00°, γ = 90.00°
With the nearest neighbours (Å) after each atom.
Space group F-43m (No. 216)
Symmetry-distinct sites (fractional):
Sc 0.0000 0.0000 0.0000 (multiplicity 4)  12 Si 2.90, 4 Tc 3.03
Si 0.1250 0.1250 0.6250 (multiplicity 16)  6 Si 2.47
Tc 0.2500 0.2500 0.2500 (multiplicity 4)  12 Si 2.90, 4 Sc 3.03



Entry from the Alexandria database: a geometry-optimized ScSiTc2 structure (PBE).

a = 3.9570 Å, b = 3.9570 Å, c = 18.2066 Å
α = 90.00°, β = 90.00°, γ = 90.00°
With the nearest neighbours (Å) after each atom.
Space group I-42d (No. 122)
Symmetry-distinct sites (fractional):
Sc 0.0000 0.0000 0.0000 (multiplicity 4)  4 Si 2.80, 4 Tc 2.81
Si 0.0000 0.0000 0.5000 (multiplicity 4)  4 Tc 2.57, 4 Sc 2.80
Tc 0.1672 0.2500 0.6250 (multiplicity 8)  2 Tc 2.38, 2 Si 2.57



Short version: calculated total energy = -0.5536; -0.4638; -0.5888 Ry/atom, in the order given.
Short version: density of states at the Fermi level = 1.8; 24.0; 22.3 states/eV per cell, in the order given.